# 1
DFT (PBE) results for a relaxed structure of LaPm2Dy.

Summary:
VASP energy: -4.609 eV per atom
ΔE_f: 0.15 eV/atom
Density: 7.07 g/cm³
M_tot: 1.491 μB per formula unit

Cell lengths 5.813, 5.813, 5.813 Å; angles 60.00, 60.00, 60.00 degrees
Fractional positions:
1 Pm 0.250 0.250 0.250
2 Dy 0.000 0.000 0.000
3 Pm 0.750 0.750 0.750
4 La 0.500 0.500 0.500

# 2
DFT (PBE) results for a relaxed structure of La3Pm3Dy8.

Summary:
VASP energy: -4.603 eV per atom
ΔE_f: 0.10 eV/atom
Density: 7.49 g/cm³
M_tot: 0.000 μB per formula unit

Cell lengths 5.731, 9.824, 9.824 Å; angles 102.69, 73.02, 73.02 degrees
Fractional positions:
1 La 0.000 0.813 0.187
2 Pm 0.801 0.200 0.200
3 Pm 0.500 0.500 0.500
4 Dy 0.840 0.762 0.558
5 Pm 0.199 0.800 0.800
6 Dy 0.338 0.881 0.443
7 Dy 0.160 0.238 0.442
8 Dy 0.662 0.557 0.119
9 La 0.000 0.187 0.813
10 Dy 0.160 0.442 0.238
11 Dy 0.662 0.119 0.557
12 La 0.500 0.000 0.000
13 Dy 0.338 0.443 0.881
14 Dy 0.840 0.558 0.762

# 3
DFT (PBE) results for a relaxed structure of LaPmDy5.

Summary:
VASP energy: -3.590 eV per atom
ΔE_f: 1.08 eV/atom
Density: 6.16 g/cm³
M_tot: 0.008 μB per formula unit

Cell lengths 5.773, 7.879, 7.879 Å; angles 66.63, 68.51, 68.51 degrees
Fractional positions:
1 Dy 0.500 0.820 0.180
2 Dy 0.252 0.748 0.748
3 Dy 0.748 0.252 0.252
4 Dy 0.000 0.500 0.500
5 La 0.000 0.000 0.000
6 Pm 0.500 0.500 0.500
7 Dy 0.500 0.180 0.820

# 4
DFT (PBE) results for a relaxed structure of La7Pm4Dy.

Summary:
VASP energy: -4.826 eV per atom
ΔE_f: 0.02 eV/atom
Density: 6.63 g/cm³
M_tot: 0.000 μB per formula unit

Cell lengths 7.439, 6.456, 11.818 Å; angles 79.50, 51.12, 90.00 degrees
Fractional positions:
1 Dy 0.000 0.000 0.000
2 Pm 0.832 0.776 0.668
3 Pm 0.579 0.275 0.671
4 La 0.249 0.500 0.999
5 Pm 0.421 0.725 0.329
6 La 0.081 0.279 0.668
7 La 0.331 0.778 0.668
8 La 0.500 0.000 0.000
9 Pm 0.168 0.224 0.332
10 La 0.919 0.721 0.332
11 La 0.669 0.222 0.332
12 La 0.751 0.500 0.001

# 5
DFT (PBE) results for a relaxed structure of La8PmDy2.

Summary:
VASP energy: -4.732 eV per atom
ΔE_f: 0.12 eV/atom
Density: 6.63 g/cm³
M_tot: 0.000 μB per formula unit

Cell lengths 6.112, 9.288, 9.634 Å; angles 61.18, 74.23, 55.69 degrees
Fractional positions:
1 La 0.500 0.205 0.589
2 Pm 0.500 0.000 0.000
3 La 0.185 0.904 0.760
4 La 0.185 0.664 0.240
5 La 0.298 0.421 0.000
6 La 0.500 0.795 0.411
7 Dy 0.000 0.311 0.378
8 La 0.702 0.579 0.000
9 La 0.815 0.096 0.240
10 La 0.815 0.336 0.760
11 Dy 0.000 0.689 0.622

# 6
DFT (PBE) results for a relaxed structure of La3Pm7Dy.

Summary:
VASP energy: -4.552 eV per atom
ΔE_f: 0.23 eV/atom
Density: 6.72 g/cm³
M_tot: 0.013 μB per formula unit

Cell lengths 5.994, 8.643, 8.643 Å; angles 82.74, 110.31, 110.31 degrees
Fractional positions:
1 Pm 0.700 0.403 0.996
2 Pm 0.209 0.209 0.209
3 Pm 0.300 0.004 0.597
4 Pm 0.700 0.996 0.403
5 Pm 0.791 0.791 0.791
6 La 0.000 0.213 0.787
7 Dy 0.500 0.500 0.500
8 La 0.500 0.000 0.000
9 Pm 0.300 0.597 0.004
10 La 0.000 0.787 0.213
11 Pm 0.000 0.500 0.500

Q: Which formula does entry 4 have?
A: La7Pm4Dy

Repeat the fourth record exactly.
DFT (PBE) results for a relaxed structure of La7Pm4Dy.

Summary:
VASP energy: -4.826 eV per atom
ΔE_f: 0.02 eV/atom
Density: 6.63 g/cm³
M_tot: 0.000 μB per formula unit

Cell lengths 7.439, 6.456, 11.818 Å; angles 79.50, 51.12, 90.00 degrees
Fractional positions:
1 Dy 0.000 0.000 0.000
2 Pm 0.832 0.776 0.668
3 Pm 0.579 0.275 0.671
4 La 0.249 0.500 0.999
5 Pm 0.421 0.725 0.329
6 La 0.081 0.279 0.668
7 La 0.331 0.778 0.668
8 La 0.500 0.000 0.000
9 Pm 0.168 0.224 0.332
10 La 0.919 0.721 0.332
11 La 0.669 0.222 0.332
12 La 0.751 0.500 0.001